Record 1
## Cs2RbIrI6 (PBE-GGA)

Data for crystalline Cs2RbIrI6 at its relaxed geometry.

Values from the calculation:
The value obtained for the calculated volume is 483.00 Å³/f.u. The value obtained for the uncorrected formation energy is -900 meV per atom. As for the crystal system: orthorhombic.

Unit cell a=8.4149 b=12.3485 c=9.2962 alpha=90.00 beta=90.00 gamma=90.00
Space group Pmmn (No. 59, origin choice 2)
Inequivalent atoms, fractional coordinates:
Cs1 0.2500 0.0205 0.2106 (multiplicity 4)
Rb1 0.2500 0.2500 0.7064 (multiplicity 2)
Ir1 0.2500 0.7500 0.7867 (multiplicity 2)
I1 0.0225 0.7500 0.5814 (multiplicity 4)
I2 0.0235 0.7500 0.9940 (multiplicity 4)
I3 0.2500 0.5310 0.7878 (multiplicity 4)

---

Record 2
## Na12Tl7Ag (PBE-GGA)

Data for crystalline Na12Tl7Ag at its relaxed geometry.

Values from the calculation:
The value obtained for the calculated volume is 596.57 Å³/f.u. For the formation energy, the calculation gives -0.0658 eV/atom. As for the crystal system: trigonal.

Unit cell a=13.6889 b=13.6889 c=11.0284 alpha=90.00 beta=90.00 gamma=120.00
Space group R-3 (No. 148, hexagonal axes)
Inequivalent atoms, fractional coordinates:
Na1 0.0136 0.2584 0.0204 (multiplicity 18)
Na2 0.0487 0.1598 0.7406 (multiplicity 18)
Tl1 0.0000 0.0000 0.0000 (multiplicity 3)
Tl2 0.0669 0.5061 0.1234 (multiplicity 18)
Ag1 0.0000 0.0000 0.5000 (multiplicity 3)

---

Record 3
## SrSn2Hg4 (PBE-GGA)

Data for crystalline SrSn2Hg4 at its relaxed geometry.

Values from the calculation:
The value obtained for the calculated volume is 196.87 Å³/f.u. For the formation energy, the calculation gives -0.2207 eV/atom. As for the crystal system: triclinic.

Unit cell a=4.7451 b=5.1627 c=9.0458 alpha=101.13 beta=92.64 gamma=113.90
Space group P-1 (No. 2)
Inequivalent atoms, fractional coordinates:
Sr1 0.0000 0.0000 0.0000 (multiplicity 1)
Sn1 0.1542 0.2890 0.4357 (multiplicity 2)
Hg1 0.2713 0.5515 0.8167 (multiplicity 2)
Hg2 0.4295 0.8568 0.2748 (multiplicity 2)

---

Record 4
## Er3Tl2Pd8 (PBE-GGA)

Data for crystalline Er3Tl2Pd8 at its relaxed geometry.

Values from the calculation:
The value obtained for the calculated volume is 261.27 Å³/f.u. For the formation energy, the calculation gives -0.4844 eV/atom. As for the crystal system: trigonal.

Unit cell a=5.4398 b=5.4398 c=30.5850 alpha=90.00 beta=90.00 gamma=120.00
Space group R-3m (No. 166, hexagonal axes)
Inequivalent atoms, fractional coordinates:
Er1 0.0000 0.0000 0.0000 (multiplicity 3)
Er2 0.0000 0.0000 0.1898 (multiplicity 6)
Tl1 0.0000 0.0000 0.3674 (multiplicity 6)
Pd1 0.0000 0.0000 0.2801 (multiplicity 6)
Pd2 0.0037 0.5018 0.7743 (multiplicity 18)

---

Record 5
## KHg3Pt (PBE-GGA)

Data for crystalline KHg3Pt at its relaxed geometry.

Values from the calculation:
The value obtained for the calculated volume is 135.30 Å³/f.u. For the formation energy, the calculation gives -0.1399 eV/atom. As for the crystal system: monoclinic.

Unit cell a=12.5701 b=4.8897 c=10.3589 alpha=90.00 beta=121.79 gamma=90.00
Space group C2/m (No. 12)
Inequivalent atoms, fractional coordinates:
K1 0.2143 0.0000 0.1605 (multiplicity 4)
Hg1 0.0025 0.5000 0.8649 (multiplicity 4)
Hg2 0.0571 0.0000 0.7260 (multiplicity 4)
Hg3 0.2094 0.0000 0.5635 (multiplicity 4)
Pt1 0.0663 0.5000 0.4347 (multiplicity 4)

---

Record 6
## KBBr (PBE-GGA)

Data for crystalline KBBr at its relaxed geometry.

Values from the calculation:
The value obtained for the calculated volume is 87.66 Å³/f.u. The value obtained for the uncorrected formation energy is -153 meV per atom. As for the crystal system: orthorhombic.

Unit cell a=8.7680 b=9.2484 c=8.6482 alpha=90.00 beta=90.00 gamma=90.00
Space group Cmce (No. 64)
Inequivalent atoms, fractional coordinates:
K1 0.2500 0.0593 0.2500 (multiplicity 8)
B1 0.0000 0.0769 0.5199 (multiplicity 8)
Br1 0.0000 0.2134 0.9804 (multiplicity 8)

---

Record 7
## BaLa3O (PBE-GGA)

Data for crystalline BaLa3O at its relaxed geometry.

Values from the calculation:
The value obtained for the calculated volume is 148.94 Å³/f.u. The value obtained for the uncorrected formation energy is -948 meV per atom. As for the crystal system: cubic.

Unit cell a=5.3008 b=5.3008 c=5.3008 alpha=90.00 beta=90.00 gamma=90.00
Space group Pm-3m (No. 221)
Inequivalent atoms, fractional coordinates:
Ba1 0.0000 0.0000 0.0000 (multiplicity 1)
La1 0.0000 0.5000 0.5000 (multiplicity 3)
O1 0.5000 0.5000 0.5000 (multiplicity 1)

---

Record 8
## MgAg4Pd4 (PBE-GGA)

Data for crystalline MgAg4Pd4 at its relaxed geometry.

Values from the calculation:
The value obtained for the calculated volume is 148.74 Å³/f.u. For the formation energy, the calculation gives -0.1783 eV/atom. As for the crystal system: tetragonal.

Unit cell a=8.4860 b=8.4860 c=4.1311 alpha=90.00 beta=90.00 gamma=90.00
Space group I4/mmm (No. 139)
Inequivalent atoms, fractional coordinates:
Mg1 0.0000 0.0000 0.0000 (multiplicity 2)
Ag1 0.1674 0.1674 0.5000 (multiplicity 8)
Pd1 0.0000 0.3340 0.0000 (multiplicity 8)

---

Record 9
## YCd2Ni (PBE-GGA)

Data for crystalline YCd2Ni at its relaxed geometry.

Values from the calculation:
The value obtained for the calculated volume is 83.28 Å³/f.u. For the formation energy, the calculation gives -0.1878 eV/atom. As for the crystal system: tetragonal.

Unit cell a=3.3470 b=3.3470 c=7.4339 alpha=90.00 beta=90.00 gamma=90.00
Space group P4mm (No. 99)
Inequivalent atoms, fractional coordinates:
Y1 0.0000 0.0000 0.0000 (multiplicity 1)
Cd1 0.0000 0.0000 0.5798 (multiplicity 1)
Cd2 0.5000 0.5000 0.3169 (multiplicity 1)
Ni1 0.5000 0.5000 0.7838 (multiplicity 1)

---

Record 10
## K3Cr2Cl7 (PBE-GGA)

Data for crystalline K3Cr2Cl7 at its relaxed geometry.

Values from the calculation:
The value obtained for the calculated volume is 316.04 Å³/f.u. The value obtained for the uncorrected formation energy is -1473 meV per atom. As for the crystal system: tetragonal.

Unit cell a=4.9893 b=4.9893 c=25.3915 alpha=90.00 beta=90.00 gamma=90.00
Space group I4/mmm (No. 139)
Inequivalent atoms, fractional coordinates:
K1 0.0000 0.0000 0.0000 (multiplicity 2)
K2 0.0000 0.0000 0.1812 (multiplicity 4)
Cr1 0.0000 0.0000 0.4019 (multiplicity 4)
Cl1 0.0000 0.0000 0.3052 (multiplicity 4)
Cl2 0.0000 0.0000 0.5000 (multiplicity 2)
Cl3 0.0000 0.5000 0.0959 (multiplicity 8)

---

Record 11
## TbSmDyEr2 (PBE-GGA)

Data for crystalline TbSmDyEr2 at its relaxed geometry.

Values from the calculation:
The value obtained for the calculated volume is 170.95 Å³/f.u. For the formation energy, the calculation gives 0.3913 eV/atom. As for the crystal system: orthorhombic.

Unit cell a=8.3539 b=11.4126 c=7.1724 alpha=90.00 beta=90.00 gamma=90.00
Space group Cmcm (No. 63)
Inequivalent atoms, fractional coordinates:
Tb1 0.0000 0.0014 0.2500 (multiplicity 4)
Sm1 0.0000 0.2741 0.2500 (multiplicity 4)
Dy1 0.0000 0.2768 0.7500 (multiplicity 4)
Er1 0.1891 0.5000 0.0000 (multiplicity 8)

---

Record 12
## Li7HoPb4 (PBE-GGA)

Data for crystalline Li7HoPb4 at its relaxed geometry.

Values from the calculation:
The value obtained for the calculated volume is 274.28 Å³/f.u. For the formation energy, the calculation gives -0.1401 eV/atom. As for the crystal system: monoclinic.

Unit cell a=12.9473 b=5.1103 c=10.1374 alpha=90.00 beta=125.13 gamma=90.00
Space group C2/m (No. 12)
Inequivalent atoms, fractional coordinates:
Li1 0.0000 0.0000 0.0000 (multiplicity 2)
Li2 0.0742 0.5000 0.3691 (multiplicity 4)
Li3 0.1587 0.0000 0.5827 (multiplicity 4)
Li4 0.2129 0.5000 0.8819 (multiplicity 4)
Ho1 0.0000 0.5000 0.0000 (multiplicity 2)
Pb1 0.0770 0.0000 0.7954 (multiplicity 4)
Pb2 0.1973 0.0000 0.3112 (multiplicity 4)